1.
This record from the Alexandria database describes crystalline TaRe2Tc at its relaxed geometry. The functional is PBEsol.

Summary:
- E above lowest polymorph (kJ per mole of atoms) = 3.8
- magnetic moment (μB per atom) = 0.00
- DFT formation energy (eV/atom) = 0.004

Unit cell a=2.735 b=4.350 c=5.196 alpha=90.00 beta=101.21 gamma=90.00
Space group Pm (No. 6)
Symmetry-distinct sites (fractional):
Ta 0.000 0.000 0.000 [1 per cell]
Re 0.218 0.500 0.741 [1 per cell]
Re 0.492 0.000 0.500 [1 per cell]
Tc 0.789 0.500 0.243 [1 per cell]

=====

2.
This record from the Alexandria database describes crystalline MgTaBe2Cu at its relaxed geometry. The functional is PBEsol.

Summary:
- magnetic moment (μB per atom) = 0.00
- DFT formation energy (eV/atom) = 1.283

Unit cell a=4.111 b=4.111 c=4.135 alpha=90.00 beta=90.00 gamma=90.00
Space group P4/mmm (No. 123)
Symmetry-distinct sites (fractional):
Mg 0.000 0.000 0.000 [1 per cell]
Ta 0.500 0.500 0.500 [1 per cell]
Be 0.000 0.500 0.000 [2 per cell]
Cu 0.000 0.000 0.500 [1 per cell]

=====

3.
This record from the Alexandria database describes crystalline Lu2S3 at its relaxed geometry. The functional is PBEsol.

Summary:
- total DFT energy (no corrections) (eV per cell) = -133.7
- magnetic moment (μB per atom) = 0.00

Unit cell a=10.296 b=3.724 c=10.126 alpha=90.00 beta=90.00 gamma=90.00
Space group Pnma (No. 62)
Symmetry-distinct sites (fractional):
Lu 0.012 0.250 0.187 [4 per cell]
Lu 0.193 0.250 0.502 [4 per cell]
S 0.045 0.750 0.374 [4 per cell]
S 0.119 0.250 0.944 [4 per cell]
S 0.227 0.750 0.696 [4 per cell]

=====

4.
This record from the Alexandria database describes crystalline ZrNiGe2H at its relaxed geometry. The functional is PBEsol.

Summary:
- total DFT energy (no corrections) (eV per cell) = -28.9
- magnetic moment (μB per atom) = 0.00

Unit cell a=4.863 b=4.863 c=3.021 alpha=90.00 beta=90.00 gamma=90.00
Space group P4/mmm (No. 123)
Symmetry-distinct sites (fractional):
Zr 0.000 0.000 0.000 [1 per cell]
Ni 0.500 0.500 0.500 [1 per cell]
Ge 0.000 0.500 0.500 [2 per cell]
H 0.500 0.500 0.000 [1 per cell]

=====

5.
This record from the Alexandria database describes crystalline CuPSO2 at its relaxed geometry. The functional is PBEsol.

Summary:
- total DFT energy (no corrections) (eV per cell) = -24.4
- magnetic moment (μB per atom) = 0.00

Unit cell a=3.424 b=3.424 c=4.751 alpha=90.00 beta=90.00 gamma=90.00
Space group P4/mmm (No. 123)
Symmetry-distinct sites (fractional):
Cu 0.000 0.000 0.000 [1 per cell]
P 0.500 0.500 0.000 [1 per cell]
S 0.500 0.500 0.500 [1 per cell]
O 0.000 0.500 0.500 [2 per cell]

=====

6.
This record from the Alexandria database describes crystalline TcP2Se at its relaxed geometry. The functional is PBEsol.

Summary:
- total DFT energy (no corrections) (eV per cell) = -24.8
- magnetic moment (μB per atom) = 0.00

Unit cell a=4.128 b=3.044 c=4.740 alpha=90.00 beta=102.09 gamma=90.00
Space group P2/m (No. 10)
Symmetry-distinct sites (fractional):
Tc 0.000 0.000 0.000 [1 per cell]
P 0.500 0.000 0.500 [1 per cell]
P 0.500 0.500 0.000 [1 per cell]
Se 0.000 0.500 0.500 [1 per cell]

=====

- magnetic moment of number 6 (TcP2Se)?
  0.00 μB per atom